No. 1
# TcMoIr (GGA-PBE, relaxed)
data_TcMoIr
_cell_length_a 4.3826
_cell_length_b 4.3826
_cell_length_c 2.7191
_cell_angle_alpha 90.00
_cell_angle_beta 90.00
_cell_angle_gamma 120.00
_space_group_name_H-M_alt 'P -6 m 2'
_space_group_IT_number 187
_space_group_name_Hall 'P -6 2'
loop_
_atom_site_label
_atom_site_fract_x
_atom_site_fract_y
_atom_site_fract_z
Tc1 0.0000 0.0000 0.0000
Mo1 0.3333 0.6667 0.0000
Ir1 0.6667 0.3333 0.5000
# **Uncorrected energy**: -10.03 eV/atom
# **Density of states at the Fermi level**: 2.45 states/eV/cell
# **Energy above the most stable polymorph in this dataset**: 160 meV per atom
# **M_tot**: 0.00 μB per formula unit
# **DFT formation energy**: -13 meV/atom

No. 2
# TcMoIr2 (GGA-PBE, relaxed)
data_TcMoIr2
_cell_length_a 2.747
_cell_length_b 3.910
_cell_length_c 5.496
_cell_angle_alpha 90.00
_cell_angle_beta 90.00
_cell_angle_gamma 90.00
_space_group_name_H-M_alt 'P m m m'
_space_group_IT_number 47
loop_
_space_group_symop_operation_xyz
'x,y,z'
'-x,-y,-z'
'-x,-y,z'
'x,y,-z'
'x,-y,-z'
'-x,y,z'
'-x,y,-z'
'x,-y,z'
loop_
_atom_site_label
_atom_site_fract_x
_atom_site_fract_y
_atom_site_fract_z
Tc1 0.000 0.000 0.000
Mo1 0.000 0.000 0.500
Ir1 0.500 0.500 0.246
# **Uncorrected energy**: -9.96 eV/atom
# **Density of states at the Fermi level**: 3.83 states/eV/cell
# **Energy above the most stable polymorph in this dataset**: 101 meV per atom
# **M_tot**: 0.00 μB per formula unit
# **DFT formation energy**: -230 meV/atom

No. 3
# TcMoIr (GGA-PBE, relaxed)
data_TcMoIr
_cell_length_a 4.778
_cell_length_b 8.326
_cell_length_c 4.793
_cell_angle_alpha 90.00
_cell_angle_beta 109.61
_cell_angle_gamma 90.00
_space_group_name_H-M_alt 'C 1 2/m 1'
_space_group_IT_number 12
loop_
_space_group_symop_operation_xyz
'x,y,z'
'-x,-y,-z'
'-x,y,-z'
'x,-y,z'
'x+1/2,y+1/2,z'
'-x+1/2,-y+1/2,-z'
'-x+1/2,y+1/2,-z'
'x+1/2,-y+1/2,z'
loop_
_atom_site_label
_atom_site_fract_x
_atom_site_fract_y
_atom_site_fract_z
Tc1 0.000 0.171 0.000
Mo1 0.000 0.000 0.500
Mo2 0.000 0.500 0.000
Ir1 0.000 0.331 0.500
# **Uncorrected energy**: -10.11 eV/atom
# **Density of states at the Fermi level**: 13.13 states/eV/cell
# **Energy above the most stable polymorph in this dataset**: 86 meV per atom
# **M_tot**: 0.00 μB per formula unit
# **DFT formation energy**: -87 meV/atom

No. 4
# Tc2MoIr2 (GGA-PBE, relaxed)
data_Tc2MoIr2
_cell_length_a 7.510
_cell_length_b 7.510
_cell_length_c 2.731
_cell_angle_alpha 90.00
_cell_angle_beta 90.00
_cell_angle_gamma 90.00
_space_group_name_H-M_alt 'P 4/m b m'
_space_group_IT_number 127
_space_group_name_Hall '-P 4 2ab'
loop_
_atom_site_label
_atom_site_fract_x
_atom_site_fract_y
_atom_site_fract_z
Tc1 0.122 0.378 0.000
Mo1 0.000 0.000 0.000
Ir1 0.172 0.672 0.500
# **Uncorrected energy**: -9.77 eV/atom
# **Density of states at the Fermi level**: 8.37 states/eV/cell
# **Energy above the most stable polymorph in this dataset**: 11 meV per atom
# **M_tot**: 0.00 μB per formula unit
# **DFT formation energy**: 82 meV/atom

No. 5
# TcMoIr2 (GGA-PBE, relaxed)
data_TcMoIr2
_cell_length_a 3.911
_cell_length_b 3.911
_cell_length_c 7.732
_cell_angle_alpha 90.00
_cell_angle_beta 90.00
_cell_angle_gamma 90.00
_space_group_name_H-M_alt 'I -4 m 2'
_space_group_IT_number 119
_space_group_name_Hall 'I -4 -2'
loop_
_atom_site_label
_atom_site_fract_x
_atom_site_fract_y
_atom_site_fract_z
Tc1 0.000 0.000 0.000
Mo1 0.000 0.500 0.750
Ir1 0.000 0.000 0.500
Ir2 0.000 0.500 0.250
# **Uncorrected energy**: -9.92 eV/atom
# **Density of states at the Fermi level**: 7.00 states/eV/cell
# **Energy above the most stable polymorph in this dataset**: 141 meV per atom
# **M_tot**: 0.00 μB per formula unit
# **DFT formation energy**: -190 meV/atom

No. 6
# Tc2MoIr2 (GGA-PBE, relaxed)
data_Tc2MoIr2
_cell_length_a 4.635
_cell_length_b 8.416
_cell_length_c 17.639
_cell_angle_alpha 90.00
_cell_angle_beta 90.00
_cell_angle_gamma 90.00
_space_group_name_H-M_alt 'F d d d'
_space_group_IT_number 70
loop_
_space_group_symop_operation_xyz
'x,y,z'
'-x,-y,-z'
'-x+1/4,-y+1/4,z'
'x+1/4,y+1/4,-z'
'x,-y+1/4,-z+1/4'
'-x,y+1/4,z+1/4'
'-x+1/4,y,-z+1/4'
'x+1/4,-y,z+1/4'
'x,y+1/2,z+1/2'
'-x,-y+1/2,-z+1/2'
'-x+1/4,-y+3/4,z+1/2'
'x+1/4,y+3/4,-z+1/2'
'x,-y+3/4,-z+3/4'
'-x,y+3/4,z+3/4'
'-x+1/4,y+1/2,-z+3/4'
'x+1/4,-y+1/2,z+3/4'
'x+1/2,y,z+1/2'
'-x+1/2,-y,-z+1/2'
'-x+3/4,-y+1/4,z+1/2'
'x+3/4,y+1/4,-z+1/2'
'x+1/2,-y+1/4,-z+3/4'
'-x+1/2,y+1/4,z+3/4'
'-x+3/4,y,-z+3/4'
'x+3/4,-y,z+3/4'
'x+1/2,y+1/2,z'
'-x+1/2,-y+1/2,-z'
'-x+3/4,-y+3/4,z'
'x+3/4,y+3/4,-z'
'x+1/2,-y+3/4,-z+1/4'
'-x+1/2,y+3/4,z+1/4'
'-x+3/4,y+1/2,-z+1/4'
'x+3/4,-y+1/2,z+1/4'
loop_
_atom_site_label
_atom_site_fract_x
_atom_site_fract_y
_atom_site_fract_z
Tc1 0.125 0.125 0.002
Mo1 0.125 0.125 0.625
Ir1 0.125 0.295 0.125
# **Uncorrected energy**: -9.30 eV/atom
# **Density of states at the Fermi level**: 48.08 states/eV/cell
# **Energy above the most stable polymorph in this dataset**: 484 meV per atom
# **M_tot**: 0.00 μB per formula unit
# **DFT formation energy**: 555 meV/atom

No. 7
# TcMoIr2 (GGA-PBE, relaxed)
data_TcMoIr2
_cell_length_a 5.476
_cell_length_b 7.852
_cell_length_c 2.743
_cell_angle_alpha 90.00
_cell_angle_beta 90.00
_cell_angle_gamma 90.00
_space_group_name_H-M_alt 'C m m m'
_space_group_IT_number 65
_space_group_name_Hall '-C 2 2'
loop_
_atom_site_label
_atom_site_fract_x
_atom_site_fract_y
_atom_site_fract_z
Tc1 0.000 0.000 0.000
Mo1 0.000 0.500 0.000
Ir1 0.250 0.250 0.500
# **Uncorrected energy**: -9.97 eV/atom
# **Density of states at the Fermi level**: 6.18 states/eV/cell
# **Energy above the most stable polymorph in this dataset**: 91 meV per atom
# **M_tot**: 0.00 μB per formula unit
# **DFT formation energy**: -239 meV/atom

No. 8
# TcMoIr2 (GGA-PBE, relaxed)
data_TcMoIr2
_cell_length_a 3.870
_cell_length_b 3.870
_cell_length_c 7.873
_cell_angle_alpha 90.00
_cell_angle_beta 90.00
_cell_angle_gamma 90.00
_space_group_name_H-M_alt 'I 4/m m m'
_space_group_IT_number 139
_space_group_name_Hall '-I 4 2'
loop_
_atom_site_label
_atom_site_fract_x
_atom_site_fract_y
_atom_site_fract_z
Tc1 0.000 0.000 0.000
Mo1 0.000 0.000 0.500
Ir1 0.000 0.500 0.250
# **Uncorrected energy**: -9.98 eV/atom
# **Density of states at the Fermi level**: 6.55 states/eV/cell
# **Energy above the most stable polymorph in this dataset**: 81 meV per atom
# **M_tot**: 0.00 μB per formula unit
# **DFT formation energy**: -250 meV/atom

No. 9
# TcMoIr2 (GGA-PBE, relaxed)
data_TcMoIr2
_cell_length_a 6.248
_cell_length_b 6.248
_cell_length_c 6.248
_cell_angle_alpha 90.00
_cell_angle_beta 90.00
_cell_angle_gamma 90.00
_space_group_name_H-M_alt 'F m -3 m'
_space_group_IT_number 225
_space_group_name_Hall '-F 4 2 3'
loop_
_atom_site_label
_atom_site_fract_x
_atom_site_fract_y
_atom_site_fract_z
Tc1 0.000 0.000 0.000
Mo1 0.000 0.000 0.500
Ir1 0.250 0.250 0.250
# **Uncorrected energy**: -9.35 eV/atom
# **Density of states at the Fermi level**: 25.20 states/eV/cell
# **Energy above the most stable polymorph in this dataset**: 712 meV per atom
# **M_tot**: 0.00 μB per formula unit
# **DFT formation energy**: 381 meV/atom

No. 10
# TcMoIr2 (GGA-PBE, relaxed)
data_TcMoIr2
_cell_length_a 3.870
_cell_length_b 3.870
_cell_length_c 3.934
_cell_angle_alpha 90.00
_cell_angle_beta 90.00
_cell_angle_gamma 90.00
_space_group_name_H-M_alt 'P 4/m m m'
_space_group_IT_number 123
_space_group_name_Hall '-P 4 2'
loop_
_atom_site_label
_atom_site_fract_x
_atom_site_fract_y
_atom_site_fract_z
Tc1 0.000 0.000 0.000
Mo1 0.500 0.500 0.000
Ir1 0.000 0.500 0.500
# **Uncorrected energy**: -10.00 eV/atom
# **Density of states at the Fermi level**: 2.64 states/eV/cell
# **Energy above the most stable polymorph in this dataset**: 66 meV per atom
# **M_tot**: 0.00 μB per formula unit
# **DFT formation energy**: -265 meV/atom

No. 11
# TcMoIr2 (GGA-PBE, relaxed)
data_TcMoIr2
_cell_length_a 3.335
_cell_length_b 3.335
_cell_length_c 5.474
_cell_angle_alpha 90.00
_cell_angle_beta 90.00
_cell_angle_gamma 90.00
_space_group_name_H-M_alt 'P 4/m m m'
_space_group_IT_number 123
_space_group_name_Hall '-P 4 2'
loop_
_atom_site_label
_atom_site_fract_x
_atom_site_fract_y
_atom_site_fract_z
Tc1 0.000 0.000 0.000
Mo1 0.000 0.000 0.500
Ir1 0.500 0.500 0.247
# **Uncorrected energy**: -9.56 eV/atom
# **Density of states at the Fermi level**: 6.48 states/eV/cell
# **Energy above the most stable polymorph in this dataset**: 499 meV per atom
# **M_tot**: 0.00 μB per formula unit
# **DFT formation energy**: 168 meV/atom

No. 12
# TcMoIr (GGA-PBE, relaxed)
data_TcMoIr
_cell_length_a 8.418
_cell_length_b 4.809
_cell_length_c 5.213
_cell_angle_alpha 90.00
_cell_angle_beta 121.99
_cell_angle_gamma 90.00
_space_group_name_H-M_alt 'C 1 c 1'
_space_group_IT_number 9
loop_
_space_group_symop_operation_xyz
'x,y,z'
'x,-y,z+1/2'
'x+1/2,y+1/2,z'
'x+1/2,-y+1/2,z+1/2'
loop_
_atom_site_label
_atom_site_fract_x
_atom_site_fract_y
_atom_site_fract_z
Tc1 0.000 0.080 0.000
Mo1 0.329 0.079 0.968
Ir1 0.165 0.423 0.482
# **Uncorrected energy**: -10.18 eV/atom
# **Density of states at the Fermi level**: 9.23 states/eV/cell
# **Energy above the most stable polymorph in this dataset**: 12 meV per atom
# **M_tot**: 0.00 μB per formula unit
# **DFT formation energy**: -161 meV/atom

No. 13
# TcMoIr2 (GGA-PBE, relaxed)
data_TcMoIr2
_cell_length_a 2.746
_cell_length_b 2.746
_cell_length_c 7.930
_cell_angle_alpha 90.00
_cell_angle_beta 90.00
_cell_angle_gamma 90.00
_space_group_name_H-M_alt 'P 4 m m'
_space_group_IT_number 99
loop_
_space_group_symop_operation_xyz
'x,y,z'
'-y,x,z'
'-x,-y,z'
'y,-x,z'
'-x,y,z'
'y,x,z'
'x,-y,z'
'-y,-x,z'
loop_
_atom_site_label
_atom_site_fract_x
_atom_site_fract_y
_atom_site_fract_z
Tc1 0.000 0.000 0.000
Mo1 0.500 0.500 0.727
Ir1 0.000 0.000 0.492
Ir2 0.500 0.500 0.228
# **Uncorrected energy**: -9.84 eV/atom
# **Density of states at the Fermi level**: 3.15 states/eV/cell
# **Energy above the most stable polymorph in this dataset**: 221 meV per atom
# **M_tot**: 0.00 μB per formula unit
# **DFT formation energy**: -110 meV/atom

No. 14
# TcMoIr (GGA-PBE, relaxed)
data_TcMoIr
_cell_length_a 4.404
_cell_length_b 4.826
_cell_length_c 8.418
_cell_angle_alpha 90.00
_cell_angle_beta 90.00
_cell_angle_gamma 90.00
_space_group_name_H-M_alt 'A m a 2'
_space_group_IT_number 40
loop_
_space_group_symop_operation_xyz
'x,y,z'
'-x,-y,z'
'-x+1/2,y,z'
'x+1/2,-y,z'
'x,y+1/2,z+1/2'
'-x,-y+1/2,z+1/2'
'-x+1/2,y+1/2,z+1/2'
'x+1/2,-y+1/2,z+1/2'
loop_
_atom_site_label
_atom_site_fract_x
_atom_site_fract_y
_atom_site_fract_z
Tc1 0.250 0.168 0.000
Mo1 0.250 0.173 0.665
Ir1 0.250 0.167 0.335
# **Uncorrected energy**: -10.16 eV/atom
# **Density of states at the Fermi level**: 12.51 states/eV/cell
# **Energy above the most stable polymorph in this dataset**: 31 meV per atom
# **M_tot**: 0.00 μB per formula unit
# **DFT formation energy**: -142 meV/atom

No. 15
# TcMoIr4 (GGA-PBE, relaxed)
data_TcMoIr4
_cell_length_a 5.599
_cell_length_b 6.652
_cell_length_c 5.604
_cell_angle_alpha 90.00
_cell_angle_beta 90.81
_cell_angle_gamma 90.00
_space_group_name_H-M_alt 'C 1 2/m 1'
_space_group_IT_number 12
loop_
_space_group_symop_operation_xyz
'x,y,z'
'-x,-y,-z'
'-x,y,-z'
'x,-y,z'
'x+1/2,y+1/2,z'
'-x+1/2,-y+1/2,-z'
'-x+1/2,y+1/2,-z'
'x+1/2,-y+1/2,z'
loop_
_atom_site_label
_atom_site_fract_x
_atom_site_fract_y
_atom_site_fract_z
Tc1 0.000 0.000 0.000
Mo1 0.000 0.500 0.500
Ir1 0.250 0.248 0.751
# **Uncorrected energy**: -9.12 eV/atom
# **Density of states at the Fermi level**: 7.28 states/eV/cell
# **Energy above the most stable polymorph in this dataset**: 433 meV per atom
# **M_tot**: 0.00 μB per formula unit
# **DFT formation energy**: 317 meV/atom

No. 16
# TcMoIr (GGA-PBE, relaxed)
data_TcMoIr
_cell_length_a 5.269
_cell_length_b 5.531
_cell_length_c 7.118
_cell_angle_alpha 67.25
_cell_angle_beta 71.48
_cell_angle_gamma 74.47
_space_group_name_H-M_alt 'P 1'
_space_group_IT_number 1
loop_
_space_group_symop_operation_xyz
'x,y,z'
loop_
_atom_site_label
_atom_site_fract_x
_atom_site_fract_y
_atom_site_fract_z
Tc1 0.000 0.000 0.000
Tc2 0.002 0.494 0.003
Tc3 0.115 0.771 0.390
Tc4 0.776 0.933 0.728
Mo1 0.416 0.608 0.062
Mo2 0.657 0.158 0.342
Mo3 0.662 0.661 0.335
Mo4 0.766 0.440 0.720
Ir1 0.101 0.271 0.392
Ir2 0.320 0.831 0.669
Ir3 0.324 0.327 0.671
Ir4 0.440 0.106 0.055
# **Uncorrected energy**: -10.18 eV/atom
# **Density of states at the Fermi level**: 10.67 states/eV/cell
# **Energy above the most stable polymorph in this dataset**: 16 meV per atom
# **M_tot**: 0.00 μB per formula unit
# **DFT formation energy**: -157 meV/atom

No. 17
# TcMoIr (GGA-PBE, relaxed)
data_TcMoIr
_cell_length_a 2.7408
_cell_length_b 2.7408
_cell_length_c 6.9075
_cell_angle_alpha 90.00
_cell_angle_beta 90.00
_cell_angle_gamma 120.00
_space_group_name_H-M_alt 'P 3 m 1'
_space_group_IT_number 156
loop_
_space_group_symop_operation_xyz
'x,y,z'
'-y,x-y,z'
'-x+y,-x,z'
'-y,-x,z'
'-x+y,y,z'
'x,x-y,z'
loop_
_atom_site_label
_atom_site_fract_x
_atom_site_fract_y
_atom_site_fract_z
Tc1 0.0000 0.0000 0.0000
Mo1 0.3333 0.6667 0.6603
Ir1 0.6667 0.3333 0.3274
# **Uncorrected energy**: -10.01 eV/atom
# **Density of states at the Fermi level**: 3.48 states/eV/cell
# **Energy above the most stable polymorph in this dataset**: 178 meV per atom
# **M_tot**: 0.00 μB per formula unit
# **DFT formation energy**: 5 meV/atom

No. 18
# TcMoIr2 (GGA-PBE, relaxed)
data_TcMoIr2
_cell_length_a 2.754
_cell_length_b 4.416
_cell_length_c 4.834
_cell_angle_alpha 90.00
_cell_angle_beta 90.00
_cell_angle_gamma 90.00
_space_group_name_H-M_alt 'P m m 2'
_space_group_IT_number 25
loop_
_space_group_symop_operation_xyz
'x,y,z'
'-x,-y,z'
'-x,y,z'
'x,-y,z'
loop_
_atom_site_label
_atom_site_fract_x
_atom_site_fract_y
_atom_site_fract_z
Tc1 0.000 0.000 0.000
Mo1 0.000 0.500 0.333
Ir1 0.500 0.000 0.502
Ir2 0.500 0.500 0.843
# **Uncorrected energy**: -10.06 eV/atom
# **Density of states at the Fermi level**: 1.96 states/eV/cell
# **Energy above the most stable polymorph in this dataset**: 0 meV per atom
# **M_tot**: 0.00 μB per formula unit
# **DFT formation energy**: -331 meV/atom

No. 19
# TcMoIr (GGA-PBE, relaxed)
data_TcMoIr
_cell_length_a 3.287
_cell_length_b 3.287
_cell_length_c 8.492
_cell_angle_alpha 90.00
_cell_angle_beta 90.00
_cell_angle_gamma 90.00
_space_group_name_H-M_alt 'I 4 m m'
_space_group_IT_number 107
_space_group_name_Hall 'I 4 -2'
loop_
_atom_site_label
_atom_site_fract_x
_atom_site_fract_y
_atom_site_fract_z
Tc1 0.000 0.000 0.000
Mo1 0.000 0.000 0.341
Ir1 0.000 0.000 0.676
# **Uncorrected energy**: -9.83 eV/atom
# **Density of states at the Fermi level**: 10.28 states/eV/cell
# **Energy above the most stable polymorph in this dataset**: 364 meV per atom
# **M_tot**: 0.00 μB per formula unit
# **DFT formation energy**: 192 meV/atom

No. 20
# TcMoIr (GGA-PBE, relaxed)
data_TcMoIr
_cell_length_a 8.338
_cell_length_b 4.811
_cell_length_c 5.254
_cell_angle_alpha 90.00
_cell_angle_beta 122.10
_cell_angle_gamma 90.00
_space_group_name_H-M_alt 'C 1 2 1'
_space_group_IT_number 5
loop_
_space_group_symop_operation_xyz
'x,y,z'
'-x,y,-z'
'x+1/2,y+1/2,z'
'-x+1/2,y+1/2,-z'
loop_
_atom_site_label
_atom_site_fract_x
_atom_site_fract_y
_atom_site_fract_z
Tc1 0.000 0.000 0.000
Tc2 0.000 0.165 0.500
Mo1 0.164 0.501 0.992
Ir1 0.170 0.670 0.506
# **Uncorrected energy**: -10.19 eV/atom
# **Density of states at the Fermi level**: 10.14 states/eV/cell
# **Energy above the most stable polymorph in this dataset**: 4 meV per atom
# **M_tot**: 0.00 μB per formula unit
# **DFT formation energy**: -169 meV/atom